DFT (PBE-GGA) results for a geometry-optimized ZrZn2H4 structure.

POSCAR file:
```
ZrZn2H4
1.0
3.795 0.000 0.000
0.000 3.795 0.000
1.898 1.898 5.246
H Zn Zr
4 2 1
Direct
0.805 0.805 0.389
0.195 0.195 0.611
0.000 0.500 0.000
0.500 0.000 0.000
0.644 0.644 0.713
0.356 0.356 0.287
0.000 0.000 0.000
```

Size of the total moment: 0.000 μB/cell
Electronic total energy: -24.0 eV/cell

---

DFT (PBE-GGA) results for a geometry-optimized KBaHF2 structure.

POSCAR file:
```
KBaHF2
1.0
5.080 0.000 0.000
0.000 5.080 0.000
0.000 0.000 5.191
H K Ba F
1 1 1 2
Direct
0.000 0.000 0.500
0.500 0.500 0.500
0.000 0.000 0.000
0.000 0.500 0.000
0.500 0.000 0.000
```

Size of the total moment: 0.000 μB/cell
Electronic total energy: -21.2 eV/cell

---

DFT (PBE-GGA) results for a geometry-optimized Na2SrSn2 structure.

POSCAR file:
```
Na2SrSn2
1.0
-3.748 -2.748 -0.109
2.334 -3.386 5.117
-0.888 5.005 3.518
Na Sr Sn
2 1 2
Direct
0.348 0.392 0.696
0.652 0.608 0.304
0.000 0.000 0.000
0.712 0.132 0.423
0.288 0.868 0.577
```

Size of the total moment: 0.000 μB/cell
Energy of formation: -0.3073 eV/atom
Relative energy among the computed polymorphs: 36 meV/atom

---

DFT (PBE-GGA) results for a geometry-optimized GdDyAl2 structure.

POSCAR file:
```
GdDyAl2
1.0
3.586 0.000 0.000
1.793 3.105 0.000
1.793 1.035 9.279
Gd Al Dy
1 2 1
Direct
0.500 0.500 0.500
0.749 0.749 0.752
0.251 0.251 0.248
0.000 0.000 0.000
```

Size of the total moment: 7.049 μB/cell
Energy of formation: -0.1544 eV/atom
Relative energy among the computed polymorphs: 245 meV/atom

---

DFT (PBE-GGA) results for a geometry-optimized PuMgGaGe structure.

POSCAR file:
```
PuMgGaGe
1.0
-2.121 3.450 0.461
-3.776 -2.288 -0.262
0.038 -0.585 4.557
Pu Mg Ga Ge
1 1 1 1
Direct
0.500 0.000 0.500
0.500 0.500 0.000
0.000 0.000 0.000
0.000 0.500 0.500
```

Size of the total moment: 5.343 μB/cell
Energy of formation: -0.3185 eV/atom
Relative energy among the computed polymorphs: 0 meV/atom

---

DFT (PBE-GGA) results for a geometry-optimized ScCdBi2 structure.

POSCAR file:
```
ScCdBi2
1.0
4.111 0.000 0.000
0.000 5.057 0.000
0.000 0.000 5.057
Sc Bi Cd
1 2 1
Direct
0.500 0.500 0.500
0.000 0.000 0.500
0.000 0.500 0.000
0.500 0.000 0.000
```

Size of the total moment: 0.000 μB/cell
Energy of formation: -0.2280 eV/atom

---

DFT (PBE-GGA) results for a geometry-optimized Mn2CuRe structure.

POSCAR file:
```
Mn2CuRe
1.0
2.596 0.000 0.000
0.000 3.778 0.000
0.000 0.000 5.225
Cu Mn Re
1 2 1
Direct
0.500 0.500 0.758
0.000 0.000 0.998
0.500 0.500 0.250
0.000 0.000 0.495
```

Size of the total moment: 0.821 μB/cell
Energy of formation: 0.1628 eV/atom
Relative energy among the computed polymorphs: 31 meV/atom

---

DFT (PBE-GGA) results for a geometry-optimized NdBrCl structure.

POSCAR file:
```
NdBrCl
1.0
-3.779 0.214 1.136
1.376 -3.304 -1.677
1.860 -2.618 6.684
Nd Br Cl
1 1 1
Direct
0.667 0.333 0.342
0.000 0.000 0.084
0.333 0.667 0.574
```

Size of the total moment: 0.000 μB/cell
ΔE_f (raw): -1.8039 eV per atom

---

DFT (PBE-GGA) results for a geometry-optimized NdMg4Ag structure.

POSCAR file:
```
NdMg4Ag
1.0
-2.191 -1.822 -3.324
2.091 -6.951 2.432
-7.148 -0.421 4.942
Nd Mg Ag
2 8 2
Direct
0.000 0.611 0.750
0.000 0.389 0.250
0.000 0.000 0.500
0.000 0.000 0.000
0.500 0.945 0.750
0.500 0.055 0.250
0.500 0.692 0.056
0.500 0.308 0.944
0.500 0.692 0.444
0.500 0.308 0.556
0.000 0.206 0.750
0.000 0.794 0.250
```

Size of the total moment: 0.000 μB/cell
Energy of formation: -0.1564 eV/atom
Relative energy among the computed polymorphs: 0 meV/atom

---

DFT (PBE-GGA) results for a geometry-optimized AcCeP2Rh2 structure.

POSCAR file:
```
AcCeP2Rh2
1.0
-2.405 1.643 -2.985
3.265 -2.383 -1.028
-4.784 -6.641 0.199
Ac Ce P Rh
1 1 2 2
Direct
0.000 0.000 0.000
0.000 0.000 0.500
0.333 0.667 0.277
0.667 0.333 0.723
0.333 0.667 0.741
0.667 0.333 0.259
```

Size of the total moment: 0.000 μB/cell
Energy of formation: -1.2236 eV/atom

---

DFT (PBE-GGA) results for a geometry-optimized TaZn3B structure.

POSCAR file:
```
TaZn3B
1.0
5.076 0.000 0.000
0.000 5.076 0.000
0.000 0.000 5.076
Zn B Ta
3 1 1
Direct
0.000 0.500 0.000
0.000 0.000 0.500
0.500 0.000 0.000
0.500 0.500 0.500
0.000 0.000 0.000
```

Size of the total moment: 1.350 μB/cell
Energy of formation: 2.0162 eV/atom
Relative energy among the computed polymorphs: 1295 meV/atom

---

DFT (PBE-GGA) results for a geometry-optimized LiLaSi2Rh structure.

POSCAR file:
```
LiLaSi2Rh
1.0
-3.470 0.931 -2.242
-2.365 -0.417 3.488
3.562 4.595 0.394
Li La Si Rh
1 1 2 1
Direct
0.250 0.750 0.500
0.000 0.000 0.000
0.621 0.621 0.243
0.379 0.379 0.757
0.750 0.250 0.500
```

Size of the total moment: 0.000 μB/cell
ΔE_f (raw): -0.7507 eV per atom